A plane-wave DFT calculation with PBE was carried out for a relaxed structure of Hg5Pb6.

a = 8.208 Å, b = 7.689 Å, c = 6.397 Å
α = 81.45°, β = 73.82°, γ = 57.74°
Fractional positions:
Hg1 0.500 0.000 0.500
Hg2 0.358 0.285 0.000
Hg3 0.642 0.715 0.000
Hg4 0.239 0.522 0.500
Hg5 0.761 0.478 0.500
Pb1 0.823 0.000 0.715
Pb2 0.177 0.000 0.285
Pb3 0.317 0.739 0.809
Pb4 0.944 0.739 0.191
Pb5 0.683 0.261 0.191
Pb6 0.056 0.261 0.809

The symmetry is C2/m. For the total magnetic moment, the calculation gives 0.00 μB per atom.



A plane-wave DFT calculation with PBE was carried out for a relaxed structure of HgPb4.

a = 6.105 Å, b = 6.105 Å, c = 6.105 Å
α = 98.85°, β = 98.85°, γ = 133.81°
Fractional positions:
Hg1 0.000 0.000 0.000
Pb1 0.795 0.407 0.202
Pb2 0.407 0.205 0.612
Pb3 0.205 0.593 0.798
Pb4 0.593 0.795 0.388

The symmetry is I4/m. For the total magnetic moment, the calculation gives 0.00 μB per atom.



A plane-wave DFT calculation with PBE was carried out for a relaxed structure of Hg3Pb.

a = 11.454 Å, b = 11.454 Å, c = 11.454 Å
α = 17.02°, β = 17.02°, γ = 17.02°
Fractional positions:
Pb1 0.000 0.000 0.000
Hg1 0.754 0.754 0.754
Hg2 0.500 0.500 0.500
Hg3 0.246 0.246 0.246

The symmetry is R-3m. For the total magnetic moment, the calculation gives 0.00 μB per atom.



A plane-wave DFT calculation with PBE was carried out for a relaxed structure of Hg2Pb3.

a = 8.393 Å, b = 8.393 Å, c = 6.981 Å
α = 53.05°, β = 53.05°, γ = 60.00°
Fractional positions:
Pb1 0.015 0.750 0.750
Pb2 0.750 0.485 0.750
Pb3 0.485 0.015 0.750
Pb4 0.250 0.515 0.250
Pb5 0.515 0.985 0.250
Pb6 0.985 0.250 0.250
Hg1 0.903 0.903 0.291
Hg2 0.403 0.403 0.791
Hg3 0.097 0.097 0.709
Hg4 0.597 0.597 0.209

The symmetry is R-3c. For the total magnetic moment, the calculation gives 0.00 μB per atom.



A plane-wave DFT calculation with PBE was carried out for a relaxed structure of Hg3Pb.

a = 6.395 Å, b = 7.026 Å, c = 9.856 Å
α = 90.00°, β = 90.00°, γ = 90.00°
Fractional positions:
Hg1 0.280 0.022 0.750
Hg2 0.780 0.478 0.250
Hg3 0.220 0.522 0.750
Hg4 0.720 0.978 0.250
Hg5 0.508 0.246 0.009
Hg6 0.008 0.254 0.991
Hg7 0.992 0.746 0.491
Hg8 0.492 0.754 0.509
Hg9 0.492 0.754 0.991
Hg10 0.992 0.746 0.009
Hg11 0.008 0.254 0.509
Hg12 0.508 0.246 0.491
Pb1 0.785 0.951 0.750
Pb2 0.285 0.549 0.250
Pb3 0.715 0.451 0.750
Pb4 0.215 0.049 0.250

The symmetry is Pnma. For the total magnetic moment, the calculation gives 0.00 μB per atom.



A plane-wave DFT calculation with PBE was carried out for a relaxed structure of HgPb.

a = 4.819 Å, b = 4.819 Å, c = 4.819 Å
α = 60.00°, β = 60.00°, γ = 60.00°
Fractional positions:
Pb1 0.750 0.750 0.750
Hg1 0.000 0.000 0.000

The symmetry is F-43m. For the total magnetic moment, the calculation gives 0.00 μB per atom.



A plane-wave DFT calculation with PBE was carried out for a relaxed structure of HgPb.

a = 3.496 Å, b = 3.496 Å, c = 11.050 Å
α = 90.00°, β = 90.00°, γ = 120.00°
Fractional positions:
Pb1 0.000 0.000 0.493
Pb2 0.667 0.333 0.757
Hg1 0.000 0.000 0.011
Hg2 0.667 0.333 0.239

The symmetry is P-3m1. For the total magnetic moment, the calculation gives 0.00 μB per atom.



A plane-wave DFT calculation with PBE was carried out for a relaxed structure of HgPb.

a = 3.379 Å, b = 3.379 Å, c = 5.735 Å
α = 90.00°, β = 90.00°, γ = 117.08°
Fractional positions:
Pb1 0.500 0.500 0.500
Hg1 0.000 0.000 0.000

The symmetry is Cmmm. For the total magnetic moment, the calculation gives 0.00 μB per atom.



Record order is preserved below.
Energy of formation from the pure elements: 0.057; 0.007; 0.018; 0.084; 0.036; 0.352; 0.020; 0.024 eV/atom
Record order is preserved below.
DOS(E_F): 0.4022; 0.4823; 0.1516; 0.3945; 0.3814; 1.1823; 0.4890; 0.3019 states/eV/atom
Record order is preserved below.
E: -2.103; -3.021; -1.136; -2.262; -1.118; -1.653; -1.985; -1.981 eV/atom